Record 1
VASP calculation (GGA-PBE) on an optimized crystal structure of Tb2NdS4.

a = 3.8807 Å, b = 6.8101 Å, c = 13.2686 Å
α = 90.00°, β = 90.00°, γ = 106.55°
Closest atoms and distances in Å follow each position.
Fractional positions:
1 Tb 0.1297 0.2594 0.4314  6 S 2.71-2.80
2 Tb 0.1297 0.2594 0.0686  6 S 2.71-2.80
3 S 0.7737 0.5474 0.1199  3 Tb 2.79-2.80, 2 Nd 2.92
4 Tb 0.8703 0.7406 0.5686  6 S 2.71-2.80
5 S 0.5000 0.0000 0.0000  4 Tb 2.73
6 S 0.7737 0.5474 0.3801  3 Tb 2.79-2.80, 2 Nd 2.92
7 Nd 0.6247 0.2495 0.7500  6 S 2.85-2.92
8 Nd 0.3753 0.7505 0.2500  6 S 2.85-2.92
9 S 0.0350 0.0700 0.2500  2 Tb 2.71, 2 Nd 2.85
10 S 0.5000 0.0000 0.5000  4 Tb 2.73
11 Tb 0.8703 0.7406 0.9314  6 S 2.71-2.80
12 S 0.2263 0.4526 0.6199  3 Tb 2.79-2.80, 2 Nd 2.92
13 S 0.9650 0.9300 0.7500  2 Tb 2.71, 2 Nd 2.85
14 S 0.2263 0.4526 0.8801  3 Tb 2.79-2.80, 2 Nd 2.92

* symmetry: Cmcm
* total DFT energy (no corrections): -6.4324 eV per atom
* formation energy from raw total energies: -2.070 eV/atom
* energy above the most stable polymorph in this dataset: 0 meV per atom
* magnetic moment: 0.00 μB/f.u.

***

Record 2
VASP calculation (GGA-PBE) on an optimized crystal structure of BaAlGaAg2.

a = 4.6464 Å, b = 4.6619 Å, c = 6.4846 Å
α = 111.07°, β = 110.99°, γ = 90.00°
Closest atoms and distances in Å follow each position.
Fractional positions:
1 Al 0.1914 0.6914 0.3828  2 Ga 2.71, 2 Ag 2.75
2 Ga 0.8159 0.8159 0.6317  3 Ag 2.65-2.73, 2 Al 2.71
3 Ag 0.0605 0.0605 0.1211  1 Ga 2.73, 2 Al 2.75, 2 Ag 2.82
4 Ba 0.4405 0.4405 0.8810  8 Ag 3.52-3.75, 4 Ga 3.57, 4 Al 3.63-3.64
5 Ag 0.7038 0.2038 0.4077  2 Ga 2.65, 2 Ag 2.82

* E_form: -0.26 eV per atom
* symmetry: Imm2
* total DFT energy (no corrections): -3.1408 eV per atom
* magnetic moment: 0.00 μB/f.u.